Record 1
A plane-wave DFT calculation with GGA-PBE was carried out for a geometry-optimized CaY3W structure.

a b c (Å): 5.2339 5.2339 5.2339
angles (deg): 90.00 90.00 90.00
Space group Pm-3m (No. 221)
Unique sites:
Ca 0.0000 0.0000 0.0000 [1 per cell]
Y 0.0000 0.0000 0.5000 [3 per cell]
W 0.5000 0.5000 0.5000 [1 per cell]

Calculated values
- E (eV/atom) = -4.95

---

Record 2
A plane-wave DFT calculation with GGA-PBE was carried out for a geometry-optimized CaY2W structure.

a b c (Å): 10.6490 3.2086 6.4910
angles (deg): 90.00 95.13 90.00
Space group Cm (No. 8)
Unique sites:
Ca 0.0000 0.0000 0.0000 [2 per cell]
Y 0.2360 0.0000 0.6921 [2 per cell]
Y 0.4806 0.0000 0.4446 [2 per cell]
W 0.2424 0.5000 0.2891 [2 per cell]

Calculated values
- E (eV/atom) = -6.34

---

Record 3
A plane-wave DFT calculation with GGA-PBE was carried out for a geometry-optimized CaYW4 structure.

a b c (Å): 7.8518 7.8518 7.8518
angles (deg): 90.00 90.00 90.00
Space group F-43m (No. 216)
Unique sites:
Ca 0.0000 0.0000 0.0000 [4 per cell]
Y 0.2500 0.2500 0.2500 [4 per cell]
W 0.1251 0.1251 0.6251 [16 per cell]

Calculated values
- E (eV/atom) = -9.66

---

Record 4
A plane-wave DFT calculation with GGA-PBE was carried out for a geometry-optimized CaY2W structure.

a b c (Å): 10.3175 3.2030 6.5076
angles (deg): 90.00 97.07 90.00
Space group C2/m (No. 12)
Unique sites:
Ca 0.0000 0.0000 0.0000 [2 per cell]
Y 0.2340 0.0000 0.7139 [4 per cell]
W 0.0000 0.5000 0.5000 [2 per cell]

Calculated values
- E (eV/atom) = -6.38

---

Record 5
A plane-wave DFT calculation with GGA-PBE was carried out for a geometry-optimized CaY2W structure.

a b c (Å): 3.4746 3.4746 33.1011
angles (deg): 90.00 90.00 120.00
Space group R-3m (No. 166, hexagonal axes)
Unique sites:
Ca 0.0000 0.0000 0.0000 [3 per cell]
Y 0.0000 0.0000 0.2338 [6 per cell]
W 0.0000 0.0000 0.5000 [3 per cell]

Calculated values
- E (eV/atom) = -6.39

---

Record 6
A plane-wave DFT calculation with GGA-PBE was carried out for a geometry-optimized CaY3W structure.

a b c (Å): 5.5334 5.5334 5.5334
angles (deg): 90.00 90.00 90.00
Space group Pm-3m (No. 221)
Unique sites:
Ca 0.0000 0.0000 0.0000 [1 per cell]
Y 0.0000 0.5000 0.5000 [3 per cell]
W 0.5000 0.5000 0.5000 [1 per cell]

Calculated values
- E (eV/atom) = -6.44

---

Record 7
A plane-wave DFT calculation with GGA-PBE was carried out for a geometry-optimized CaYW2 structure.

a b c (Å): 7.0317 7.0317 7.0317
angles (deg): 90.00 90.00 90.00
Space group Fm-3m (No. 225)
Unique sites:
Ca 0.0000 0.0000 0.0000 [4 per cell]
Y 0.0000 0.0000 0.5000 [4 per cell]
W 0.2500 0.2500 0.2500 [8 per cell]

Calculated values
- E (eV/atom) = -7.26

---

Record 8
A plane-wave DFT calculation with GGA-PBE was carried out for a geometry-optimized Ca2Y2W structure.

a b c (Å): 4.0591 4.0591 18.3301
angles (deg): 90.00 90.00 90.00
Space group I4/mmm (No. 139)
Unique sites:
Ca 0.0000 0.5000 0.2500 [4 per cell]
Y 0.0000 0.0000 0.0829 [4 per cell]
W 0.0000 0.0000 0.5000 [2 per cell]

Calculated values
- E (eV/atom) = -4.98

---

| no. | calculated volume (Å³/atom) | ΔE_f (kJ/mol of formula units) | density (g/cm3) |
| --- | --- | --- | --- |
| 1 | 28.7 | 927 | 5.7 |
| 2 | 27.6 | 245 | 6.0 |
| 3 | 20.2 | 222 | 11.9 |
| 4 | 26.7 | 228 | 6.3 |
| 5 | 28.8 | 225 | 5.8 |
| 6 | 33.9 | 207 | 4.8 |
| 7 | 21.7 | 514 | 9.5 |
| 8 | 30.2 | 480 | 4.9 |